[1]
VASP calculation (SCAN) on Ba2NaCaCr at its PBEsol-relaxed geometry.

Summary:
Its uncorrected energy is -109.19 eV for the cell shown. The space group is P4/mmm.

Geometry as POSCAR:
```
Ba2NaCaCr
1.0
6.3406 0.0000 0.0000
0.0000 6.3406 0.0000
0.0000 0.0000 5.8343
Ba Na Ca Cr
2 1 1 1
Direct
0.0000 0.5000 0.0000 Ba
0.5000 0.0000 0.0000 Ba
0.0000 0.0000 0.5000 Na
0.5000 0.5000 0.5000 Ca
0.0000 0.0000 0.0000 Cr
```


[2]
VASP calculation (SCAN) on BaCaNbCr2 at its PBEsol-relaxed geometry.

Summary:
Its uncorrected energy is -109.33 eV for the cell shown. The space group is P4/mmm.

Geometry as POSCAR:
```
BaCaNbCr2
1.0
4.9408 0.0000 0.0000
0.0000 4.9408 0.0000
0.0000 0.0000 5.4601
Ba Ca Nb Cr
1 1 1 2
Direct
0.0000 0.0000 0.0000 Ba
0.0000 0.0000 0.5000 Ca
0.5000 0.5000 0.0000 Nb
0.0000 0.5000 0.5000 Cr
0.5000 0.0000 0.5000 Cr
```


[3]
VASP calculation (SCAN) on BaCaCrO2 at its PBEsol-relaxed geometry.

Summary:
The value obtained for the energy relative to the elements, uncorrected is 0.386 eV per formula unit. The space group is P4/mmm.

Geometry as POSCAR:
```
BaCaCrO2
1.0
4.5462 0.0000 0.0000
0.0000 4.5462 0.0000
0.0000 0.0000 7.2318
Ba Ca Cr O
1 1 1 2
Direct
0.0000 0.0000 0.0000 Ba
0.0000 0.0000 0.5000 Ca
0.5000 0.5000 0.5000 Cr
0.0000 0.5000 0.0000 O
0.5000 0.0000 0.0000 O
```


[4]
VASP calculation (SCAN) on CsBa2Ca at its PBEsol-relaxed geometry.

Summary:
Its uncorrected energy is -125.88 eV for the cell shown. The space group is Fm-3m.

Geometry as POSCAR:
```
CsBa2Ca
1.0
0.0000 4.8757 4.8757
4.8757 0.0000 4.8757
4.8757 4.8757 0.0000
Cs Ba Ca
1 2 1
Direct
0.0000 0.0000 0.0000 Cs
0.2500 0.2500 0.2500 Ba
0.7500 0.7500 0.7500 Ba
0.5000 0.5000 0.5000 Ca
```


Across the entries above, magnetic moment takes the values 4.8; 11.7; 5.4; 1.3 μB per formula unit, respectively.